Crystalline SbO2 at its relaxed geometry, computed with PBE.

The structure in CIF format:
```
data_SbO2
_chemical_formula_sum 'Sb8 O16'
_space_group_name_H-M_alt 'P m m n'
_space_group_IT_number 59
_cell_length_a 5.9194
_cell_length_b 13.2188
_cell_length_c 6.5688
_cell_angle_alpha 90.00
_cell_angle_beta 90.00
_cell_angle_gamma 90.00
loop_
_space_group_symop_operation_xyz
'x,y,z'
'-x,-y,-z'
'-x+1/2,-y+1/2,z'
'x+1/2,y+1/2,-z'
'x+1/2,-y,-z'
'-x+1/2,y,z'
'-x,y+1/2,-z'
'x,-y+1/2,z'
loop_
_atom_site_label
_atom_site_type_symbol
_atom_site_fract_x
_atom_site_fract_y
_atom_site_fract_z
Sb1 Sb 0.0000 0.0000 0.0000
Sb2 Sb 0.2500 0.0708 0.4752
O1 O 0.0010 0.5135 0.3163
O2 O 0.2500 0.1010 0.0333
O3 O 0.2500 0.5991 0.9793
```

Summary:
total magnetization	0.0	μB/f.u.
formation energy (no corrections)	-1.286	eV per atom